# 1
# PBE-GGA Dy2ErTh2, relaxed
data_Dy2ErTh2
_symmetry_space_group_name_H-M 'C 1 2/c 1'
_symmetry_Int_Tables_number 15
_cell_length_a 8.4284
_cell_length_b 16.1432
_cell_length_c 6.1162
_cell_angle_alpha 90.00
_cell_angle_beta 126.13
_cell_angle_gamma 90.00
loop_
_symmetry_equiv_pos_as_xyz
'x,y,z'
'-x,-y,-z'
'-x,y,-z+1/2'
'x,-y,z+1/2'
'x+1/2,y+1/2,z'
'-x+1/2,-y+1/2,-z'
'-x+1/2,y+1/2,-z+1/2'
'x+1/2,-y+1/2,z+1/2'
loop_
_atom_site_label
_atom_site_fract_x
_atom_site_fract_y
_atom_site_fract_z
Dy1 0.2370 0.0703 0.0662
Er1 0.0000 0.3978 0.2500
Th1 0.1069 0.2187 0.5923
# calculated formation energy = 0.216 eV/atom
# distance to the lowest polymorph of the same formula = 0 meV per atom
# size of the total moment = 0.000 Bohr magnetons per cell
# crystal system = monoclinic

# 2
# PBE-GGA InGaSn2, relaxed
data_InGaSn2
_symmetry_space_group_name_H-M 'I -4 2 d'
_symmetry_Int_Tables_number 122
_symmetry_space_group_name_Hall 'I -4 2bw'
_cell_length_a 5.8712
_cell_length_b 5.8712
_cell_length_c 15.0034
_cell_angle_alpha 90.00
_cell_angle_beta 90.00
_cell_angle_gamma 90.00
loop_
_atom_site_label
_atom_site_fract_x
_atom_site_fract_y
_atom_site_fract_z
In1 0.0000 0.0000 0.0000
Ga1 0.0000 0.0000 0.5000
Sn1 0.2193 0.2500 0.6250
# calculated formation energy = 0.164 eV/atom
# distance to the lowest polymorph of the same formula = 129 meV per atom
# size of the total moment = 0.000 Bohr magnetons per cell
# crystal system = tetragonal

# 3
# PBE-GGA Er3CoIr8, relaxed
data_Er3CoIr8
_symmetry_space_group_name_H-M 'R 3 m'
_symmetry_Int_Tables_number 160
_symmetry_space_group_name_Hall 'R 3 -2"'
_cell_length_a 5.2939
_cell_length_b 5.2939
_cell_length_c 26.0098
_cell_angle_alpha 90.00
_cell_angle_beta 90.00
_cell_angle_gamma 120.00
loop_
_atom_site_label
_atom_site_fract_x
_atom_site_fract_y
_atom_site_fract_z
Er1 0.0000 0.0000 0.0000
Er2 0.0000 0.0000 0.1298
Er3 0.0000 0.0000 0.5157
Co1 0.0000 0.0000 0.6507
Ir1 0.0000 0.0000 0.3160
Ir2 0.0000 0.0000 0.8173
Ir3 0.0009 0.5004 0.0665
Ir4 0.0007 0.5004 0.5679
# calculated formation energy = -0.497 eV/atom
# size of the total moment = 7.194 Bohr magnetons per cell
# crystal system = trigonal

# 4
# PBE-GGA DyScAgRu, relaxed
data_DyScAgRu
_symmetry_space_group_name_H-M 'P 4 m m'
_symmetry_Int_Tables_number 99
_cell_length_a 3.3218
_cell_length_b 3.3218
_cell_length_c 7.3256
_cell_angle_alpha 90.00
_cell_angle_beta 90.00
_cell_angle_gamma 90.00
loop_
_symmetry_equiv_pos_as_xyz
'x,y,z'
'-y,x,z'
'-x,-y,z'
'y,-x,z'
'-x,y,z'
'y,x,z'
'x,-y,z'
'-y,-x,z'
loop_
_atom_site_label
_atom_site_fract_x
_atom_site_fract_y
_atom_site_fract_z
Dy1 0.0000 0.0000 0.0000
Sc1 0.0000 0.0000 0.5593
Ag1 0.5000 0.5000 0.3017
Ru1 0.5000 0.5000 0.7611
# calculated formation energy = -0.450 eV/atom
# distance to the lowest polymorph of the same formula = 0 meV per atom
# size of the total moment = 0.000 Bohr magnetons per cell
# crystal system = tetragonal

# 5
# PBE-GGA ErScAsP, relaxed
data_ErScAsP
_symmetry_space_group_name_H-M 'P 4/m m m'
_symmetry_Int_Tables_number 123
_symmetry_space_group_name_Hall '-P 4 2'
_cell_length_a 3.9438
_cell_length_b 3.9438
_cell_length_c 5.5330
_cell_angle_alpha 90.00
_cell_angle_beta 90.00
_cell_angle_gamma 90.00
loop_
_atom_site_label
_atom_site_fract_x
_atom_site_fract_y
_atom_site_fract_z
Er1 0.0000 0.0000 0.0000
Sc1 0.5000 0.5000 0.5000
As1 0.5000 0.5000 0.0000
P1 0.0000 0.0000 0.5000
# calculated formation energy = -1.447 eV/atom
# size of the total moment = 0.000 Bohr magnetons per cell
# crystal system = tetragonal

# 6
# PBE-GGA Sr2SmMg, relaxed
data_Sr2SmMg
_symmetry_space_group_name_H-M 'P 4/m m m'
_symmetry_Int_Tables_number 123
_symmetry_space_group_name_Hall '-P 4 2'
_cell_length_a 5.8023
_cell_length_b 5.8023
_cell_length_c 4.6656
_cell_angle_alpha 90.00
_cell_angle_beta 90.00
_cell_angle_gamma 90.00
loop_
_atom_site_label
_atom_site_fract_x
_atom_site_fract_y
_atom_site_fract_z
Sr1 0.0000 0.5000 0.0000
Sm1 0.0000 0.0000 0.5000
Mg1 0.5000 0.5000 0.5000
# calculated formation energy = 0.162 eV/atom
# distance to the lowest polymorph of the same formula = 33 meV per atom
# size of the total moment = 0.000 Bohr magnetons per cell
# crystal system = tetragonal

# 7
# PBE-GGA ScSi2As, relaxed
data_ScSi2As
_symmetry_space_group_name_H-M 'P 1 2/m 1'
_symmetry_Int_Tables_number 10
_cell_length_a 3.8084
_cell_length_b 3.6546
_cell_length_c 5.2716
_cell_angle_alpha 90.00
_cell_angle_beta 102.36
_cell_angle_gamma 90.00
loop_
_symmetry_equiv_pos_as_xyz
'x,y,z'
'-x,-y,-z'
'-x,y,-z'
'x,-y,z'
loop_
_atom_site_label
_atom_site_fract_x
_atom_site_fract_y
_atom_site_fract_z
Sc1 0.0000 0.0000 0.0000
Si1 0.4484 0.5000 0.7622
As1 0.0000 0.0000 0.5000
# size of the total moment = 0.000 Bohr magnetons per cell
# crystal system = monoclinic
# E_form (uncorrected) = -18.3 kJ/mol of atoms

# 8
# PBE-GGA KTiN3, relaxed
data_KTiN3
_symmetry_space_group_name_H-M 'P m -3 m'
_symmetry_Int_Tables_number 221
_symmetry_space_group_name_Hall '-P 4 2 3'
_cell_length_a 4.0003
_cell_length_b 4.0003
_cell_length_c 4.0003
_cell_angle_alpha 90.00
_cell_angle_beta 90.00
_cell_angle_gamma 90.00
loop_
_atom_site_label
_atom_site_fract_x
_atom_site_fract_y
_atom_site_fract_z
K1 0.0000 0.0000 0.0000
Ti1 0.5000 0.5000 0.5000
N1 0.0000 0.0000 0.5000
# size of the total moment = 0.000 Bohr magnetons per cell
# crystal system = cubic
# E_form (uncorrected) = 275.3 kJ/mol of atoms

# 9
# PBE-GGA BePd2N, relaxed
data_BePd2N
_symmetry_space_group_name_H-M 'I -4 2 d'
_symmetry_Int_Tables_number 122
_symmetry_space_group_name_Hall 'I -4 2bw'
_cell_length_a 4.4867
_cell_length_b 4.4867
_cell_length_c 11.3145
_cell_angle_alpha 90.00
_cell_angle_beta 90.00
_cell_angle_gamma 90.00
loop_
_atom_site_label
_atom_site_fract_x
_atom_site_fract_y
_atom_site_fract_z
Be1 0.0000 0.0000 0.0000
Pd1 0.2068 0.2500 0.6250
N1 0.0000 0.0000 0.5000
# distance to the lowest polymorph of the same formula = 0 meV per atom
# size of the total moment = 0.000 Bohr magnetons per cell
# crystal system = tetragonal
# E_form (uncorrected) = 55.6 kJ/mol of atoms

# 10
# PBE-GGA LaTmPb6, relaxed
data_LaTmPb6
_symmetry_space_group_name_H-M 'P 4/m m m'
_symmetry_Int_Tables_number 123
_symmetry_space_group_name_Hall '-P 4 2'
_cell_length_a 4.9323
_cell_length_b 4.9323
_cell_length_c 9.7553
_cell_angle_alpha 90.00
_cell_angle_beta 90.00
_cell_angle_gamma 90.00
loop_
_atom_site_label
_atom_site_fract_x
_atom_site_fract_y
_atom_site_fract_z
La1 0.0000 0.0000 0.0000
Tm1 0.0000 0.0000 0.5000
Pb1 0.0000 0.5000 0.2576
Pb2 0.5000 0.5000 0.0000
Pb3 0.5000 0.5000 0.5000
# calculated formation energy = -0.337 eV/atom
# size of the total moment = 0.000 Bohr magnetons per cell
# crystal system = tetragonal

# 11
# PBE-GGA SmAsH2Rh2, relaxed
data_SmAsH2Rh2
_symmetry_space_group_name_H-M 'P 1 21/m 1'
_symmetry_Int_Tables_number 11
_cell_length_a 5.1255
_cell_length_b 5.5799
_cell_length_c 6.3369
_cell_angle_alpha 90.00
_cell_angle_beta 99.10
_cell_angle_gamma 90.00
loop_
_symmetry_equiv_pos_as_xyz
'x,y,z'
'-x,-y,-z'
'-x,y+1/2,-z'
'x,-y+1/2,z'
loop_
_atom_site_label
_atom_site_fract_x
_atom_site_fract_y
_atom_site_fract_z
Sm1 0.2239 0.2500 0.3333
As1 0.2682 0.7500 0.1036
H1 0.1372 0.2500 0.6825
H2 0.2584 0.7500 0.6199
Rh1 0.3234 0.0039 0.7951
# size of the total moment = 0.000 Bohr magnetons per cell
# final energy = -5.632 eV per atom
# crystal system = monoclinic

# 12
# PBE-GGA TcB2Au, relaxed
data_TcB2Au
_symmetry_space_group_name_H-M 'F m -3 m'
_symmetry_Int_Tables_number 225
_symmetry_space_group_name_Hall '-F 4 2 3'
_cell_length_a 5.6008
_cell_length_b 5.6008
_cell_length_c 5.6008
_cell_angle_alpha 90.00
_cell_angle_beta 90.00
_cell_angle_gamma 90.00
loop_
_atom_site_label
_atom_site_fract_x
_atom_site_fract_y
_atom_site_fract_z
Tc1 0.0000 0.0000 0.0000
B1 0.2500 0.2500 0.2500
Au1 0.0000 0.0000 0.5000
# calculated formation energy = 0.756 eV/atom
# distance to the lowest polymorph of the same formula = 71 meV per atom
# size of the total moment = 0.000 Bohr magnetons per cell
# crystal system = cubic